The following is a DFT calculation (PBE) of Cs2Tb2CeS6 after structural relaxation.

## Properties
Formation energy (no corrections): -178.72 kJ per mole of atoms
Space-group type: C2/m (12)
Volume: 32.352 Å³ per atom
Calculated total energy: -5.640 eV/atom

Unit cell a=7.0640 b=7.0640 c=8.5743 alpha=98.02 beta=98.02 gamma=119.98
Last column: nearest neighbours and their distance in Å.
Sites, in units of the cell vectors:
Cs 0.1681 0.8319 0.0000  6 S 3.55-3.56
Cs 0.8319 0.1681 0.0000  6 S 3.55-3.56
Tb 0.3337 0.6663 0.5000  6 S 2.77-2.78
Tb 0.6663 0.3337 0.5000  6 S 2.77-2.78
Ce 0.0000 0.0000 0.5000  6 S 2.74-2.75
S 0.0583 0.3902 0.6768  1 Ce 2.75, 2 Tb 2.77-2.78
S 0.2691 0.2691 0.3234  1 Ce 2.74, 2 Tb 2.78
S 0.3902 0.0583 0.6768  1 Ce 2.75, 2 Tb 2.77-2.78
S 0.6098 0.9417 0.3232  1 Ce 2.75, 2 Tb 2.77-2.78
S 0.7309 0.7309 0.6766  1 Ce 2.74, 2 Tb 2.78
S 0.9417 0.6098 0.3232  1 Ce 2.75, 2 Tb 2.77-2.78



The following is a DFT calculation (PBE) of RbCr2CdHg after structural relaxation.

## Properties
Space-group type: P4/mmm (123)
Volume: 59.474 Å³ per atom
DFT formation energy: 1581 meV per atom
Calculated total energy: -2.705 eV/atom

Unit cell a=6.5750 b=6.5750 c=6.8786 alpha=90.00 beta=90.00 gamma=90.00
Last column: nearest neighbours and their distance in Å.
Sites, in units of the cell vectors:
Rb 0.0000 0.0000 0.0000  4 Cr 3.29, 2 Hg 3.44
Cr 0.0000 0.5000 0.0000  2 Rb 3.29
Cr 0.5000 0.0000 0.0000  2 Rb 3.29
Cd 0.5000 0.5000 0.5000  4 Hg 4.65, 8 Cr 4.76
Hg 0.0000 0.0000 0.5000  2 Rb 3.44



The following is a DFT calculation (PBE) of PrNiIr after structural relaxation.

## Properties
Space-group type: P-6m2 (187)
Volume: 20.338 Å³ per atom
DFT formation energy: -457 meV per atom
Calculated total energy: -6.931 eV/atom

Unit cell a=4.1748 b=4.1748 c=4.0423 alpha=90.00 beta=90.00 gamma=120.00
Last column: nearest neighbours and their distance in Å.
Sites, in units of the cell vectors:
Pr 0.0000 0.0000 0.0000  6 Ni 3.15, 6 Ir 3.15
Ni 0.3333 0.6667 0.5000  3 Ir 2.41
Ir 0.6667 0.3333 0.5000  3 Ni 2.41



The following is a DFT calculation (PBE) of SrLaRu4 after structural relaxation.

## Properties
Space-group type: F-43m (216)
Volume: 19.362 Å³ per atom
DFT formation energy: 130 meV per atom
Calculated total energy: -7.156 eV/atom

Unit cell a=5.4769 b=5.4769 c=5.4769 alpha=60.00 beta=60.00 gamma=60.00
Last column: nearest neighbours and their distance in Å.
Sites, in units of the cell vectors:
Sr 0.0000 0.0000 0.0000  12 Ru 3.21, 4 La 3.35
La 0.7500 0.7500 0.7500  12 Ru 3.21, 4 Sr 3.35
Ru 0.3751 0.3751 0.3751  6 Ru 2.74
Ru 0.3751 0.3751 0.8746  6 Ru 2.74
Ru 0.3751 0.8746 0.3751  6 Ru 2.74
Ru 0.8746 0.3751 0.3751  6 Ru 2.74



The following is a DFT calculation (PBE) of KCoMoS3 after structural relaxation.

## Properties
Formation energy (no corrections): -73.23 kJ per mole of atoms
Space-group type: P2_1/m (11)
Volume: 20.040 Å³ per atom
Calculated total energy: -5.995 eV/atom

Unit cell a=8.3803 b=3.4811 c=9.1258 alpha=90.00 beta=115.40 gamma=90.00
Last column: nearest neighbours and their distance in Å.
Sites, in units of the cell vectors:
K 0.2421 0.2500 0.2568  7 S 3.14-3.30, 2 K 3.48
K 0.7579 0.7500 0.7432  7 S 3.14-3.30, 2 K 3.48
Co 0.0894 0.2500 0.6102  4 S 2.21-2.27
Co 0.9106 0.7500 0.3898  4 S 2.21-2.27
Mo 0.2933 0.7500 0.8275  6 S 2.37-2.55, 2 Co 2.64
Mo 0.7067 0.2500 0.1725  6 S 2.37-2.55, 2 Co 2.64
S 0.1099 0.2500 0.8599  1 Co 2.21, 2 Mo 2.42
S 0.2068 0.7500 0.5441  3 Co 2.21-2.27, 1 Mo 2.37
S 0.4729 0.7500 0.1351  3 Mo 2.53-2.55
S 0.5271 0.2500 0.8649  3 Mo 2.53-2.55
S 0.7932 0.2500 0.4559  3 Co 2.21-2.27, 1 Mo 2.37
S 0.8901 0.7500 0.1401  1 Co 2.21, 2 Mo 2.42



The following is a DFT calculation (PBE) of GeBiIrN2 after structural relaxation.

## Properties
Formation energy (no corrections): 91.04 kJ per mole of atoms
Space-group type: P4/mmm (123)
Volume: 16.837 Å³ per atom
Calculated total energy: -5.858 eV/atom

Unit cell a=3.9168 b=3.9168 c=5.4875 alpha=90.00 beta=90.00 gamma=90.00
Last column: nearest neighbours and their distance in Å.
Sites, in units of the cell vectors:
Ge 0.0000 0.0000 0.0000  2 Ir 2.74, 4 Bi 2.77
Bi 0.5000 0.5000 0.0000  4 Ge 2.77
Ir 0.0000 0.0000 0.5000  4 N 1.96
N 0.0000 0.5000 0.5000  2 Ir 1.96
N 0.5000 0.0000 0.5000  2 Ir 1.96



The following is a DFT calculation (PBE) of LiTc2Os after structural relaxation.

## Properties
Space-group type: Cm (8)
E above lowest polymorph: 85.0 meV/atom
Volume: 13.972 Å³ per atom
DFT formation energy: 248 meV per atom
Calculated total energy: -8.221 eV/atom

Unit cell a=4.5228 b=4.5228 c=4.8433 alpha=94.45 beta=94.45 gamma=34.47
Last column: nearest neighbours and their distance in Å.
Sites, in units of the cell vectors:
Li 0.0000 0.0000 0.0000  7 Tc 2.49-2.79, 3 Os 2.53-2.74, 2 Li 2.68
Tc 0.5062 0.5062 0.5051  5 Tc 2.60-2.78, 3 Os 2.62-2.69, 4 Li 2.75-2.79
Tc 0.7548 0.7548 0.2377  3 Li 2.49-2.75, 5 Tc 2.60-2.78, 2 Os 2.69
Os 0.2483 0.2483 0.7564  3 Li 2.53-2.74, 5 Tc 2.62-2.69, 2 Os 2.68



The following is a DFT calculation (PBE) of PmMgAlGa after structural relaxation.

## Properties
Space-group type: F-43m (216)
Volume: 22.050 Å³ per atom
DFT formation energy: -286 meV per atom
Calculated total energy: -3.565 eV/atom

Unit cell a=4.9964 b=4.9964 c=4.9964 alpha=60.00 beta=60.00 gamma=60.00
Last column: nearest neighbours and their distance in Å.
Sites, in units of the cell vectors:
Pm 0.0000 0.0000 0.0000  4 Al 3.06, 4 Ga 3.06
Mg 0.5000 0.5000 0.5000  4 Al 3.06, 4 Ga 3.06
Al 0.7500 0.7500 0.7500  4 Mg 3.06, 4 Pm 3.06
Ga 0.2500 0.2500 0.2500  4 Mg 3.06, 4 Pm 3.06